The following is a PBE-GGA calculation of an optimized crystal structure of BeAl3Cu12, from the Alexandria database.

Cell lengths 3.664, 3.664, 14.458 Å; angles 90.00, 90.00, 90.00 degrees
Element x y z (fractional)
Be 0.000 0.000 0.000
Al 0.000 0.000 0.243
Al 0.000 0.000 0.500
Al 0.000 0.000 0.757
Cu 0.000 0.500 0.116
Cu 0.000 0.500 0.372
Cu 0.000 0.500 0.628
Cu 0.000 0.500 0.884
Cu 0.500 0.000 0.116
Cu 0.500 0.000 0.372
Cu 0.500 0.000 0.628
Cu 0.500 0.000 0.884
Cu 0.500 0.500 0.000
Cu 0.500 0.500 0.244
Cu 0.500 0.500 0.500
Cu 0.500 0.500 0.756

Summary:
Electronic total energy = -0.152 hartree per atom
Formation energy = -0.139 eV/atom
Calculated density = 7.3 g/cm³
SG = P4/mmm, No. 123